1.
This record from the Alexandria database describes crystalline Cd2AsIr at its relaxed geometry. The functional is GGA-PBE.

a = 2.9907 Å, b = 2.9907 Å, c = 8.6390 Å
α = 90.00°, β = 90.00°, γ = 90.00°
Positions (direct):
As 0.5000 0.5000 0.7500
Ir 0.5000 0.5000 0.2500
Cd 0.0000 0.0000 0.0296
Cd 0.0000 0.0000 0.4704

## Properties
Formation energy = 237.4 meV/atom
Total moment = 0.0 μB/cell
Space-group type = P4/mmm, No. 123
E_tot = -3.60 eV per atom

=====

2.
This record from the Alexandria database describes crystalline NaAl2Au at its relaxed geometry. The functional is GGA-PBE.

a = 4.6306 Å, b = 4.6306 Å, c = 4.6306 Å
α = 60.00°, β = 60.00°, γ = 60.00°
Positions (direct):
Na 0.0000 0.0000 0.0000
Au 0.5000 0.5000 0.5000
Al 0.2500 0.2500 0.2500
Al 0.7500 0.7500 0.7500

## Properties
Formation energy = -83.3 meV/atom
Total moment = 0.0 μB/cell
Space-group type = Fm-3m, No. 225
E_tot = -3.10 eV per atom

=====

3.
This record from the Alexandria database describes crystalline InN2Cl at its relaxed geometry. The functional is GGA-PBE.

a = 6.2549 Å, b = 6.2549 Å, c = 6.2549 Å
α = 32.15°, β = 32.15°, γ = 32.15°
Positions (direct):
N 0.8950 0.8950 0.8950
N 0.1050 0.1050 0.1050
Cl 0.0000 0.0000 0.0000
In 0.5000 0.5000 0.5000

## Properties
Total moment = 0.1 μB/cell
Space-group type = R-3m, No. 166
Relative energy among the computed polymorphs = 0 kJ/mol of formula units
E_tot = -4.32 eV per atom

=====

4.
This record from the Alexandria database describes crystalline TaCrSi2 at its relaxed geometry. The functional is GGA-PBE.

a = 2.8912 Å, b = 2.8912 Å, c = 6.8392 Å
α = 90.00°, β = 90.00°, γ = 100.48°
Positions (direct):
Cr 0.5000 0.5000 0.7500
Si 0.0000 0.0000 0.9718
Si 0.0000 0.0000 0.5282
Ta 0.5000 0.5000 0.2500

## Properties
Total moment = 1.6 μB/cell
Space-group type = Cmmm, No. 65
E_tot = -8.23 eV per atom

=====

5.
This record from the Alexandria database describes crystalline ScUBiO6 at its relaxed geometry. The functional is GGA-PBE.

a = 5.6207 Å, b = 5.6207 Å, c = 9.7437 Å
α = 90.00°, β = 90.00°, γ = 120.00°
Positions (direct):
Sc 0.3333 0.6667 0.2500
Sc 0.6667 0.3333 0.7500
U 0.6667 0.3333 0.2500
U 0.3333 0.6667 0.7500
Bi 0.0000 0.0000 0.0000
Bi 0.0000 0.0000 0.5000
O 0.6462 0.6415 0.1387
O 0.9953 0.3538 0.1387
O 0.3538 0.9953 0.6387
O 0.0047 0.6462 0.8613
O 0.3585 0.3538 0.3613
O 0.9953 0.6415 0.3613
O 0.6415 0.9953 0.8613
O 0.6462 0.0047 0.3613
O 0.0047 0.3585 0.6387
O 0.3585 0.0047 0.1387
O 0.6415 0.6462 0.6387
O 0.3538 0.3585 0.8613

## Properties
Total moment = 0.0 μB/cell
Space-group type = P-31c, No. 163
E_tot = -8.40 eV per atom

=====

6.
This record from the Alexandria database describes crystalline TaRh2Au at its relaxed geometry. The functional is GGA-PBE.

a = 2.8358 Å, b = 2.8358 Å, c = 7.9681 Å
α = 90.00°, β = 90.00°, γ = 90.00°
Positions (direct):
Ta 0.0000 0.0000 0.4877
Rh 0.0000 0.0000 0.0114
Rh 0.5000 0.5000 0.2492
Au 0.5000 0.5000 0.7517

## Properties
Formation energy = -83.8 meV/atom
Total moment = 0.6 μB/cell
Space-group type = P4mm, No. 99
E_tot = -7.54 eV per atom